! Ni2MoSeCl GGA-PBE relaxed; values from VASP
&SYSTEM
  ibrav = 0, nat = 5, ntyp = 4
/
ATOMIC_SPECIES
Ni 58.69 Ni.upf
Mo 95.94 Mo.upf
Se 78.96 Se.upf
Cl 35.45 Cl.upf
CELL_PARAMETERS angstrom
4.712 0.000 0.000
0.000 4.712 0.000
0.000 0.000 4.438
ATOMIC_POSITIONS angstrom
Ni 0.000 2.356 0.000
Ni 2.356 0.000 0.000
Mo 0.000 0.000 0.000
Se 2.356 2.356 2.219
Cl 0.000 0.000 2.219
! Formation energy from raw total energies   999 meV per atom

***

! Ni2MoSeCl GGA-PBE relaxed; values from VASP
&SYSTEM
  ibrav = 0, nat = 5, ntyp = 4
/
ATOMIC_SPECIES
Ni 58.69 Ni.upf
Mo 95.94 Mo.upf
Se 78.96 Se.upf
Cl 35.45 Cl.upf
CELL_PARAMETERS angstrom
4.343 0.000 0.000
0.000 4.343 0.000
0.000 0.000 5.153
ATOMIC_POSITIONS angstrom
Ni 0.000 2.172 0.000
Ni 2.172 0.000 0.000
Mo 0.000 0.000 2.577
Se 0.000 0.000 0.000
Cl 2.172 2.172 2.577
! Formation energy from raw total energies   711 meV per atom

***

! TlNi2MoCl GGA-PBE relaxed; values from VASP
&SYSTEM
  ibrav = 0, nat = 5, ntyp = 4
/
ATOMIC_SPECIES
Tl 204.38 Tl.upf
Ni 58.69 Ni.upf
Mo 95.94 Mo.upf
Cl 35.45 Cl.upf
CELL_PARAMETERS angstrom
4.801 0.000 0.000
0.000 4.801 0.000
0.000 0.000 5.527
ATOMIC_POSITIONS angstrom
Tl 0.000 0.000 0.000
Ni 0.000 2.401 0.000
Ni 2.401 0.000 0.000
Mo 2.401 2.401 2.763
Cl 0.000 0.000 2.763
! Formation energy from raw total energies   1601 meV per atom

***

! YNiMoCl2 GGA-PBE relaxed; values from VASP
&SYSTEM
  ibrav = 0, nat = 5, ntyp = 4
/
ATOMIC_SPECIES
Y 88.91 Y.upf
Ni 58.69 Ni.upf
Mo 95.94 Mo.upf
Cl 35.45 Cl.upf
CELL_PARAMETERS angstrom
4.539 0.000 0.000
0.000 4.539 0.000
0.000 0.000 6.153
ATOMIC_POSITIONS angstrom
Y 0.000 0.000 0.000
Ni 2.270 2.270 0.000
Mo 0.000 0.000 3.077
Cl 0.000 2.270 3.077
Cl 2.270 0.000 3.077
! Formation energy from raw total energies   387 meV per atom

***

- Among the records above, which one has the lowest formation energy from raw total energies?
  YNiMoCl2